## Sm5Dy2Ho (GGA-PBE)

Data for a relaxed structure of Sm5Dy2Ho.

energy relative to the lowest polymorph listed for this composition	0	meV per atom
calculated formation energy	0.0160	eV/atom
calculated total energy	-74.499	eV per cell

```
Sm5Dy2Ho
1.0
5.074 0.000 0.000
0.000 7.192 0.000
0.000 0.000 14.384
Sm Dy Ho
10 4 2
Direct
0.000 0.000 0.000
0.000 0.500 0.500
0.000 0.500 0.751
0.000 0.500 0.249
0.000 0.000 0.251
0.000 0.000 0.749
0.500 0.251 0.876
0.500 0.749 0.124
0.500 0.249 0.376
0.500 0.751 0.624
0.500 0.250 0.624
0.500 0.750 0.376
0.500 0.250 0.124
0.500 0.750 0.876
0.000 0.000 0.500
0.000 0.500 0.000
```